(1)
Material: BaPb2Cl
Method: DFT, PBE
State: optimized geometry

Cell: 4.495 4.495 14.833 Å, 81.29 81.29 90.00°
Fractional positions:
1 Pb 0.115 0.625 0.250
2 Pb 0.635 0.125 0.250
3 Pb 0.875 0.885 0.750
4 Pb 0.375 0.365 0.750
5 Ba 0.000 0.000 0.000
6 Ba 0.750 0.250 0.500
7 Cl 0.500 0.500 0.000
8 Cl 0.250 0.750 0.500

Values from the calculation:
Density of states at the Fermi level = 5.4 states/eV/cell
Energy relative to the elements, uncorrected = -838 meV per atom


(2)
Material: BaPb2Cl
Method: DFT, PBE
State: optimized geometry

Cell: 3.983 6.339 6.046 Å, 90.00 90.00 90.00°
Fractional positions:
1 Ba 0.500 0.500 0.250
2 Pb 0.000 0.000 0.008
3 Pb 0.000 0.000 0.492
4 Cl 0.500 0.500 0.750

Values from the calculation:
Density of states at the Fermi level = 1.5 states/eV/cell
Energy relative to the elements, uncorrected = -621 meV per atom


(3)
Material: BaPb2Cl
Method: DFT, PBE
State: optimized geometry

Cell: 7.175 4.486 4.515 Å, 88.08 90.00 90.00°
Fractional positions:
1 Ba 0.500 0.250 0.250
2 Pb 0.000 0.006 0.006
3 Pb 0.000 0.494 0.494
4 Cl 0.500 0.750 0.750

Values from the calculation:
Density of states at the Fermi level = 2.7 states/eV/cell
Energy relative to the elements, uncorrected = -845 meV per atom


(4)
Material: BaPbCl2
Method: DFT, PBE
State: optimized geometry

Cell: 11.706 11.706 11.706 Å, 21.49 21.49 21.49°
Fractional positions:
1 Cl 0.034 0.034 0.034
2 Cl 0.466 0.466 0.466
3 Ba 0.750 0.750 0.750
4 Pb 0.250 0.250 0.250

Values from the calculation:
Density of states at the Fermi level = 1.8 states/eV/cell
Energy relative to the elements, uncorrected = -1369 meV per atom


(5)
Material: BaPb2Cl
Method: DFT, PBE
State: optimized geometry

Cell: 5.034 5.034 7.401 Å, 70.16 70.16 59.96°
Fractional positions:
1 Pb 0.734 0.734 0.797
2 Pb 0.015 0.015 0.955
3 Ba 0.521 0.521 0.436
4 Cl 0.230 0.230 0.311

Values from the calculation:
Density of states at the Fermi level = 2.4 states/eV/cell
Energy relative to the elements, uncorrected = -907 meV per atom


(6)
Material: BaPb3Cl8
Method: DFT, PBE
State: optimized geometry

Cell: 10.092 10.090 7.136 Å, 134.99 90.00 120.01°
Fractional positions:
1 Cl 0.256 0.511 0.256
2 Cl 0.745 0.000 0.744
3 Cl 0.745 0.489 0.234
4 Cl 0.745 0.000 0.256
5 Cl 0.744 0.489 0.744
6 Cl 0.255 0.511 0.766
7 Cl 0.255 0.000 0.256
8 Cl 0.255 0.000 0.744
9 Pb 0.500 0.000 0.000
10 Pb 0.000 0.500 0.000
11 Pb 0.500 0.500 0.000
12 Ba 0.000 0.000 0.000

Values from the calculation:
Density of states at the Fermi level = 0.0 states/eV/cell
Energy relative to the elements, uncorrected = -1494 meV per atom


(7)
Material: BaPb2Cl
Method: DFT, PBE
State: optimized geometry

Cell: 6.722 6.722 6.722 Å, 145.97 118.94 71.78°
Fractional positions:
1 Pb 0.767 0.267 0.500
2 Pb 0.996 0.996 0.000
3 Cl 0.264 0.764 0.500
4 Ba 0.473 0.473 0.000

Values from the calculation:
Density of states at the Fermi level = 1.6 states/eV/cell
Energy relative to the elements, uncorrected = -689 meV per atom


(8)
Material: BaPbCl2
Method: DFT, PBE
State: optimized geometry

Cell: 9.596 9.596 9.596 Å, 27.99 27.99 27.99°
Fractional positions:
1 Ba 0.500 0.500 0.500
2 Cl 0.114 0.114 0.114
3 Cl 0.886 0.886 0.886
4 Pb 0.000 0.000 0.000

Values from the calculation:
Density of states at the Fermi level = 1.7 states/eV/cell
Energy relative to the elements, uncorrected = -1380 meV per atom


(9)
Material: BaPbCl2
Method: DFT, PBE
State: optimized geometry

Cell: 4.400 5.178 5.178 Å, 90.00 90.00 90.00°
Fractional positions:
1 Ba 0.500 0.000 0.500
2 Cl 0.000 0.500 0.500
3 Cl 0.000 0.000 0.000
4 Pb 0.500 0.500 0.000

Values from the calculation:
Density of states at the Fermi level = 2.0 states/eV/cell
Energy relative to the elements, uncorrected = -1239 meV per atom


(10)
Material: Rb2BaPbCl6
Method: DFT, PBE
State: optimized geometry

Cell: 8.250 8.250 8.250 Å, 60.00 60.00 90.00°
Fractional positions:
1 Ba 0.500 0.500 0.000
2 Cl 0.756 0.756 0.489
3 Cl 0.756 0.244 0.000
4 Cl 0.244 0.244 0.511
5 Cl 0.244 0.244 0.000
6 Cl 0.756 0.756 0.000
7 Cl 0.244 0.756 0.000
8 Rb 0.250 0.750 0.500
9 Rb 0.750 0.250 0.500
10 Pb 0.000 0.000 0.000

Values from the calculation:
Density of states at the Fermi level = 0.0 states/eV/cell
Energy relative to the elements, uncorrected = -1819 meV per atom


(11)
Material: Rb2BaPbCl6
Method: DFT, PBE
State: optimized geometry

Cell: 7.876 8.256 11.288 Å, 90.00 90.58 90.00°
Fractional positions:
1 Cl 0.810 0.792 0.935
2 Cl 0.620 0.048 0.258
3 Cl 0.705 0.304 0.937
4 Cl 0.120 0.452 0.758
5 Cl 0.310 0.708 0.435
6 Cl 0.205 0.196 0.437
7 Cl 0.690 0.292 0.565
8 Cl 0.295 0.696 0.063
9 Cl 0.190 0.208 0.065
10 Cl 0.380 0.952 0.742
11 Cl 0.795 0.804 0.563
12 Cl 0.880 0.548 0.242
13 Pb 0.500 0.000 0.500
14 Pb 0.000 0.500 0.000
15 Rb 0.475 0.432 0.251
16 Rb 0.025 0.932 0.249
17 Rb 0.975 0.068 0.751
18 Rb 0.525 0.568 0.749
19 Ba 0.000 0.500 0.500
20 Ba 0.500 0.000 0.000

Values from the calculation:
Density of states at the Fermi level = 0.0 states/eV/cell
Energy relative to the elements, uncorrected = -1890 meV per atom


(12)
Material: BaRe2PbCl
Method: DFT, PBE
State: optimized geometry

Cell: 4.569 4.569 5.705 Å, 90.00 90.00 90.00°
Fractional positions:
1 Cl 0.000 0.000 0.000
2 Re 0.500 0.000 0.000
3 Re 0.000 0.500 0.000
4 Ba 0.000 0.000 0.500
5 Pb 0.500 0.500 0.500

Values from the calculation:
Density of states at the Fermi level = 4.9 states/eV/cell
Energy relative to the elements, uncorrected = 1300 meV per atom


(13)
Material: Ba2RhPbCl
Method: DFT, PBE
State: optimized geometry

Cell: 5.895 5.358 5.895 Å, 90.00 90.00 90.00°
Fractional positions:
1 Ba 0.000 0.000 0.500
2 Ba 0.500 0.000 0.000
3 Rh 0.500 0.500 0.500
4 Pb 0.000 0.500 0.000
5 Cl 0.000 0.000 0.000

Values from the calculation:
Density of states at the Fermi level = 3.9 states/eV/cell
Energy relative to the elements, uncorrected = -124 meV per atom


(14)
Material: BaSnPb2Cl8
Method: DFT, PBE
State: optimized geometry

Cell: 6.861 6.761 9.035 Å, 90.00 90.00 89.60°
Fractional positions:
1 Cl 0.166 0.769 0.767
2 Cl 0.328 0.269 0.000
3 Cl 0.672 0.731 0.000
4 Cl 0.834 0.231 0.233
5 Cl 0.649 0.719 0.500
6 Cl 0.166 0.769 0.233
7 Cl 0.834 0.231 0.767
8 Cl 0.351 0.281 0.500
9 Sn 0.000 0.000 0.000
10 Pb 0.500 0.500 0.758
11 Pb 0.500 0.500 0.242
12 Ba 0.000 0.000 0.500

Values from the calculation:
Density of states at the Fermi level = 0.0 states/eV/cell
Energy relative to the elements, uncorrected = -1444 meV per atom


(15)
Material: BaSrPbCl6
Method: DFT, PBE
State: optimized geometry

Cell: 7.499 7.499 13.260 Å, 90.00 90.00 120.00°
Fractional positions:
1 Cl 0.653 0.654 0.631
2 Cl 0.654 0.001 0.369
3 Cl 0.346 0.347 0.869
4 Cl 0.347 0.001 0.131
5 Cl 0.001 0.347 0.631
6 Cl 0.999 0.653 0.369
7 Cl 0.654 0.653 0.131
8 Cl 0.653 0.999 0.869
9 Cl 0.346 0.999 0.631
10 Cl 0.347 0.346 0.369
11 Cl 0.999 0.346 0.131
12 Cl 0.001 0.654 0.869
13 Sr 0.667 0.333 0.250
14 Sr 0.333 0.667 0.750
15 Ba 0.000 0.000 0.500
16 Ba 0.000 0.000 0.000
17 Pb 0.667 0.333 0.750
18 Pb 0.333 0.667 0.250

Values from the calculation:
Density of states at the Fermi level = 0.0 states/eV/cell
Energy relative to the elements, uncorrected = -2035 meV per atom


(16)
Material: BaSrPb2Cl8
Method: DFT, PBE
State: optimized geometry

Cell: 6.837 6.756 9.168 Å, 90.00 90.00 89.42°
Fractional positions:
1 Cl 0.838 0.235 0.762
2 Cl 0.355 0.278 0.500
3 Cl 0.337 0.271 0.000
4 Cl 0.645 0.722 0.500
5 Cl 0.161 0.765 0.762
6 Cl 0.663 0.729 0.000
7 Cl 0.839 0.235 0.238
8 Cl 0.162 0.765 0.238
9 Pb 0.500 0.500 0.244
10 Pb 0.500 0.500 0.756
11 Ba 0.000 0.000 0.500
12 Sr 0.000 0.000 0.000

Values from the calculation:
Density of states at the Fermi level = 0.0 states/eV/cell
Energy relative to the elements, uncorrected = -1809 meV per atom


(17)
Material: BaTaPb2Cl
Method: DFT, PBE
State: optimized geometry

Cell: 6.471 5.502 6.471 Å, 90.00 90.00 90.00°
Last column: magnetic moment on the atom in μB.
Fractional positions:
1 Ta 0.500 0.500 0.500  2.19
2 Ba 0.000 0.000 0.000  -0.03
3 Cl 0.000 0.500 0.000  0.02
4 Pb 0.500 0.000 0.000  -0.03
5 Pb 0.000 0.000 0.500  0.02

Values from the calculation:
Density of states at the Fermi level = 8.5 states/eV/cell
Energy relative to the elements, uncorrected = 1253 meV per atom


(18)
Material: BaTa2PbCl
Method: DFT, PBE
State: optimized geometry

Cell: 5.576 5.557 5.576 Å, 90.00 90.00 90.00°
Last column: magnetic moment on the atom in μB.
Fractional positions:
1 Ba 0.000 0.000 0.000  0.18
2 Cl 0.000 0.500 0.000  0.08
3 Ta 0.500 0.000 0.000  1.42
4 Ta 0.000 0.000 0.500  1.20
5 Pb 0.500 0.500 0.500  -0.02

Values from the calculation:
Density of states at the Fermi level = 8.4 states/eV/cell
Energy relative to the elements, uncorrected = 2079 meV per atom


(19)
Material: BaTl2PbCl6
Method: DFT, PBE
State: optimized geometry

Cell: 7.698 8.197 11.163 Å, 90.00 90.29 90.00°
Fractional positions:
1 Cl 0.325 0.698 0.432
2 Cl 0.634 0.052 0.258
3 Cl 0.808 0.816 0.566
4 Cl 0.825 0.802 0.932
5 Cl 0.175 0.198 0.068
6 Cl 0.366 0.948 0.742
7 Cl 0.192 0.184 0.434
8 Cl 0.134 0.448 0.758
9 Cl 0.675 0.302 0.568
10 Cl 0.866 0.552 0.242
11 Cl 0.692 0.316 0.934
12 Cl 0.308 0.684 0.066
13 Ba 0.500 0.000 0.000
14 Ba 0.000 0.500 0.500
15 Tl 0.476 0.433 0.251
16 Tl 0.524 0.567 0.749
17 Tl 0.024 0.933 0.249
18 Tl 0.976 0.067 0.751
19 Pb 0.500 0.000 0.500
20 Pb 0.000 0.500 0.000

Values from the calculation:
Density of states at the Fermi level = 0.0 states/eV/cell
Energy relative to the elements, uncorrected = -1500 meV per atom


(20)
Material: BaTlPb2Cl8
Method: DFT, PBE
State: optimized geometry

Cell: 6.936 6.800 8.957 Å, 90.00 90.00 89.61°
Fractional positions:
1 Ba 0.000 0.000 0.500
2 Pb 0.500 0.500 0.759
3 Pb 0.500 0.500 0.241
4 Cl 0.661 0.710 0.500
5 Cl 0.320 0.279 0.000
6 Cl 0.181 0.775 0.234
7 Cl 0.819 0.225 0.766
8 Cl 0.181 0.775 0.766
9 Cl 0.339 0.290 0.500
10 Cl 0.819 0.225 0.234
11 Cl 0.680 0.721 0.000
12 Tl 0.000 0.000 0.000

Values from the calculation:
Density of states at the Fermi level = 4.1 states/eV/cell
Energy relative to the elements, uncorrected = -1356 meV per atom